Density functional theory data (PBE) for an optimized crystal structure of K2LaCd.

a = 13.7265 Å, b = 13.7265 Å, c = 13.7265 Å
α = 16.07°, β = 16.07°, γ = 16.07°
Fractional coordinates of all 4 atoms:
1 K 0.2426 0.2426 0.2426
2 K 0.7574 0.7574 0.7574
3 La 0.0000 0.0000 0.0000
4 Cd 0.5000 0.5000 0.5000

Calculated values
- VASP energy (eV for the cell shown) = -7.11


Density functional theory data (PBE) for an optimized crystal structure of K2LaCd.

a = 6.0325 Å, b = 6.0325 Å, c = 9.3827 Å
α = 107.33°, β = 107.33°, γ = 38.53°
Fractional coordinates of all 4 atoms:
1 K 0.0000 0.0000 0.0000
2 K 0.1728 0.1728 0.6649
3 La 0.3530 0.3530 0.3331
4 Cd 0.6363 0.6363 0.3324

Calculated values
- VASP energy (eV for the cell shown) = -7.32


Density functional theory data (PBE) for an optimized crystal structure of KLaCd.

a = 3.8067 Å, b = 3.8067 Å, c = 9.2629 Å
α = 90.00°, β = 90.00°, γ = 120.00°
Fractional coordinates of all 3 atoms:
1 K 0.0000 0.0000 0.0000
2 La 0.3333 0.6667 0.4115
3 Cd 0.6667 0.3333 0.6818

Calculated values
- VASP energy (eV for the cell shown) = -6.59


Density functional theory data (PBE) for an optimized crystal structure of KLaCd2.

a = 3.9420 Å, b = 3.9835 Å, c = 8.6819 Å
α = 90.00°, β = 90.00°, γ = 90.00°
Fractional coordinates of all 4 atoms:
1 K 0.0000 0.0000 0.0000
2 La 0.0000 0.0000 0.5000
3 Cd 0.5000 0.5000 0.2856
4 Cd 0.5000 0.5000 0.7144

Calculated values
- offset from the most stable computed form (meV/atom) = 0
- VASP energy (eV for the cell shown) = -8.42


Formation energy from the elements readings, ordered: 0.233, 0.179, 0.116, -0.142 eV/atom